No. 1
The following is a DFT calculation (PBE-GGA) of a geometry-optimized CdCu2Sb structure.

excess energy over the best structure of this formula in the dataset: 97 kJ/mol of formula units
space-group type: F-43m
raw total energy: -2.971 eV per atom
DOS at the Fermi energy: 2.57 states/eV per cell
formation energy from raw total energies: 0.337 eV per atom

Unit cell a=4.7287 b=4.7287 c=4.7287 alpha=60.00 beta=60.00 gamma=60.00
Positions (direct):
Cd 0.5000 0.5000 0.5000
Cu 0.0000 0.0000 0.0000
Cu 0.2500 0.2500 0.2500
Sb 0.7500 0.7500 0.7500

No. 2
The following is a DFT calculation (PBE-GGA) of a geometry-optimized CdCu2Sb structure.

excess energy over the best structure of this formula in the dataset: 52 kJ/mol of formula units
space-group type: Fm-3m
raw total energy: -3.087 eV per atom
DOS at the Fermi energy: 2.37 states/eV per cell
formation energy from raw total energies: 0.220 eV per atom

Unit cell a=4.6787 b=4.6787 c=4.6787 alpha=60.00 beta=60.00 gamma=60.00
Positions (direct):
Sb 0.5000 0.5000 0.5000
Cu 0.2500 0.2500 0.2500
Cu 0.7500 0.7500 0.7500
Cd 0.0000 0.0000 0.0000

No. 3
The following is a DFT calculation (PBE-GGA) of a geometry-optimized Cd2CuSb structure.

space-group type: Pm
raw total energy: -2.407 eV per atom
DOS at the Fermi energy: 0.93 states/eV per cell
formation energy from raw total energies: 0.105 eV per atom

Unit cell a=4.3166 b=4.5571 c=6.0133 alpha=54.40 beta=90.00 gamma=90.00
Positions (direct):
Cd 0.0000 0.9314 0.9561
Cd 0.5000 0.3770 0.3197
Cu 0.0000 0.5941 0.4929
Sb 0.5000 0.5975 0.7313

No. 4
The following is a DFT calculation (PBE-GGA) of a geometry-optimized CdCu2Sb2 structure.

excess energy over the best structure of this formula in the dataset: 19 kJ/mol of formula units
space-group type: I4/mmm
raw total energy: -3.283 eV per atom
DOS at the Fermi energy: 2.25 states/eV per cell
formation energy from raw total energies: 0.188 eV per atom

Unit cell a=4.3959 b=4.3959 c=6.5730 alpha=70.46 beta=70.46 gamma=90.00
Positions (direct):
Sb 0.3748 0.3748 0.2504
Sb 0.6252 0.6252 0.7496
Cu 0.7500 0.2500 0.5000
Cu 0.2500 0.7500 0.5000
Cd 0.0000 0.0000 0.0000

No. 5
The following is a DFT calculation (PBE-GGA) of a geometry-optimized Cd2CuSb structure.

space-group type: Immm
raw total energy: -2.388 eV per atom
DOS at the Fermi energy: 1.34 states/eV per cell
formation energy from raw total energies: 0.124 eV per atom

Unit cell a=7.0555 b=7.0555 c=7.0555 alpha=153.32 beta=145.07 gamma=44.49
Positions (direct):
Cd 0.9386 0.9386 0.0000
Cd 0.5614 0.5614 0.0000
Cu 0.7500 0.2500 0.5000
Sb 0.2500 0.7500 0.5000

No. 6
The following is a DFT calculation (PBE-GGA) of a geometry-optimized Cd2CuSb2 structure.

excess energy over the best structure of this formula in the dataset: 117 kJ/mol of formula units
space-group type: I4/mmm
raw total energy: -2.390 eV per atom
DOS at the Fermi energy: 2.07 states/eV per cell
formation energy from raw total energies: 0.445 eV per atom

Unit cell a=4.2480 b=4.2480 c=8.0723 alpha=74.74 beta=74.74 gamma=90.00
Positions (direct):
Sb 0.7500 0.2500 0.5000
Sb 0.2500 0.7500 0.5000
Cu 0.0000 0.0000 0.0000
Cd 0.4098 0.4098 0.1805
Cd 0.5902 0.5902 0.8195

No. 7
The following is a DFT calculation (PBE-GGA) of a geometry-optimized CdCu2Sb structure.

excess energy over the best structure of this formula in the dataset: 69 kJ/mol of formula units
space-group type: R3m
raw total energy: -3.041 eV per atom
DOS at the Fermi energy: 2.88 states/eV per cell
formation energy from raw total energies: 0.266 eV per atom

Unit cell a=8.7891 b=8.7891 c=8.7891 alpha=21.02 beta=21.02 gamma=21.02
Positions (direct):
Cd 0.7380 0.7380 0.7380
Cu 0.9904 0.9904 0.9904
Cu 0.2580 0.2580 0.2580
Sb 0.5136 0.5136 0.5136

No. 8
The following is a DFT calculation (PBE-GGA) of a geometry-optimized CdCuSb2 structure.

space-group type: Pmm2
raw total energy: -3.123 eV per atom
DOS at the Fermi energy: 2.09 states/eV per cell
formation energy from raw total energies: 0.191 eV per atom

Unit cell a=3.1539 b=3.9847 c=7.4361 alpha=90.00 beta=90.00 gamma=90.00
Positions (direct):
Cd 0.0000 0.0000 0.5324
Cu 0.5000 0.5000 0.7423
Sb 0.0000 0.0000 0.9225
Sb 0.5000 0.5000 0.3029

No. 9
The following is a DFT calculation (PBE-GGA) of a geometry-optimized CdCu2Sb structure.

excess energy over the best structure of this formula in the dataset: 41 kJ/mol of formula units
space-group type: P4/mmm
raw total energy: -3.115 eV per atom
DOS at the Fermi energy: 1.10 states/eV per cell
formation energy from raw total energies: 0.192 eV per atom

Unit cell a=3.3686 b=3.3686 c=6.3715 alpha=90.00 beta=90.00 gamma=90.00
Positions (direct):
Cd 0.5000 0.5000 0.7500
Cu 0.0000 0.0000 0.9775
Cu 0.0000 0.0000 0.5225
Sb 0.5000 0.5000 0.2500

No. 10
The following is a DFT calculation (PBE-GGA) of a geometry-optimized Cd2CuSb structure.

space-group type: I-42d
raw total energy: -2.320 eV per atom
DOS at the Fermi energy: 3.43 states/eV per cell
formation energy from raw total energies: 0.192 eV per atom

Unit cell a=4.2723 b=4.2723 c=10.3345 alpha=78.07 beta=78.07 gamma=90.00
Positions (direct):
Sb 0.0000 0.0000 0.0000
Sb 0.7500 0.2500 0.5000
Cu 0.5000 0.5000 0.0000
Cu 0.2500 0.7500 0.5000
Cd 0.5957 0.1250 0.2500
Cd 0.1543 0.6250 0.2500
Cd 0.3750 0.4043 0.7500
Cd 0.8750 0.8457 0.7500

No. 11
The following is a DFT calculation (PBE-GGA) of a geometry-optimized Cd2CuSb structure.

space-group type: Cmmm
raw total energy: -2.376 eV per atom
DOS at the Fermi energy: 1.51 states/eV per cell
formation energy from raw total energies: 0.137 eV per atom

Unit cell a=3.1431 b=3.1431 c=8.6130 alpha=90.00 beta=90.00 gamma=87.77
Positions (direct):
Cd 0.0000 0.0000 0.0503
Cd 0.0000 0.0000 0.4497
Cu 0.5000 0.5000 0.2500
Sb 0.5000 0.5000 0.7500

No. 12
The following is a DFT calculation (PBE-GGA) of a geometry-optimized Cd2CuSb structure.

space-group type: P4mm
raw total energy: -2.388 eV per atom
DOS at the Fermi energy: 1.04 states/eV per cell
formation energy from raw total energies: 0.125 eV per atom

Unit cell a=3.1295 b=3.1295 c=8.8150 alpha=90.00 beta=90.00 gamma=90.04
Positions (direct):
Cd 0.0000 0.0000 0.0181
Cd 0.5000 0.5000 0.2900
Cu 0.0000 0.0000 0.4923
Sb 0.5000 0.5000 0.6996